Model A:
Compound: AlCdSb
Source: the Alexandria database
Functional: PBE-GGA
Structure: optimized geometry

```
data_AlCdSb
_chemical_formula_sum 'Al3 Cd3 Sb3'
_symmetry_space_group_name_H-M 'R 3 m'
_symmetry_Int_Tables_number 160
_symmetry_space_group_name_Hall 'R 3 -2"'
_cell_length_a 5.2603
_cell_length_b 5.2603
_cell_length_c 9.2331
_cell_angle_alpha 90.00
_cell_angle_beta 90.00
_cell_angle_gamma 120.00
loop_
_atom_site_label
_atom_site_type_symbol
_atom_site_fract_x
_atom_site_fract_y
_atom_site_fract_z
Al1 Al 0.0000 0.0000 0.0000
Cd1 Cd 0.0000 0.0000 0.6948
Sb1 Sb 0.0000 0.0000 0.2981
```

Model B:
Compound: AlCdSb
Source: the Alexandria database
Functional: PBE-GGA
Structure: optimized geometry

```
data_AlCdSb
_chemical_formula_sum 'Al4 Cd4 Sb4'
_symmetry_space_group_name_H-M 'C 1 2/m 1'
_symmetry_Int_Tables_number 12
_symmetry_space_group_name_Hall '-C 2y'
_cell_length_a 7.564
_cell_length_b 4.292
_cell_length_c 10.443
_cell_angle_alpha 90.00
_cell_angle_beta 103.85
_cell_angle_gamma 90.00
loop_
_atom_site_label
_atom_site_type_symbol
_atom_site_fract_x
_atom_site_fract_y
_atom_site_fract_z
Al1 Al 0.129 0.000 0.415
Cd1 Cd 0.139 0.500 0.917
Sb1 Sb 0.243 0.000 0.701
```

Model C:
Compound: AlCdSb
Source: the Alexandria database
Functional: PBE-GGA
Structure: optimized geometry

```
data_AlCdSb
_chemical_formula_sum 'Al1 Cd1 Sb1'
_symmetry_space_group_name_H-M 'P 3 m 1'
_symmetry_Int_Tables_number 156
_symmetry_space_group_name_Hall 'P 3 -2"'
_cell_length_a 5.0687
_cell_length_b 5.0687
_cell_length_c 3.1852
_cell_angle_alpha 90.00
_cell_angle_beta 90.00
_cell_angle_gamma 120.00
loop_
_atom_site_label
_atom_site_type_symbol
_atom_site_fract_x
_atom_site_fract_y
_atom_site_fract_z
Al1 Al 0.0000 0.0000 0.0000
Cd1 Cd 0.3333 0.6667 0.5002
Sb1 Sb 0.6667 0.3333 0.0025
```

The structure with the greatest stability is model B.

Model A:
Compound: AlCdSb
Source: the Alexandria database
Functional: PBE-GGA
Structure: optimized geometry

```
data_AlCdSb
_chemical_formula_sum 'Al2 Cd2 Sb2'
_symmetry_space_group_name_H-M 'I 4 m m'
_symmetry_Int_Tables_number 107
_symmetry_space_group_name_Hall 'I 4 -2'
_cell_length_a 3.729
_cell_length_b 3.729
_cell_length_c 10.184
_cell_angle_alpha 90.00
_cell_angle_beta 90.00
_cell_angle_gamma 90.00
loop_
_atom_site_label
_atom_site_type_symbol
_atom_site_fract_x
_atom_site_fract_y
_atom_site_fract_z
Al1 Al 0.000 0.000 0.000
Cd1 Cd 0.000 0.000 0.671
Sb1 Sb 0.000 0.000 0.363
```

Model B:
Compound: AlCdSb
Source: the Alexandria database
Functional: PBE-GGA
Structure: optimized geometry

```
data_AlCdSb
_chemical_formula_sum 'Al4 Cd4 Sb4'
_symmetry_space_group_name_H-M 'F -4 3 m'
_symmetry_Int_Tables_number 216
_symmetry_space_group_name_Hall 'F -4 2 3'
_cell_length_a 6.774
_cell_length_b 6.774
_cell_length_c 6.774
_cell_angle_alpha 90.00
_cell_angle_beta 90.00
_cell_angle_gamma 90.00
loop_
_atom_site_label
_atom_site_type_symbol
_atom_site_fract_x
_atom_site_fract_y
_atom_site_fract_z
Al1 Al 0.000 0.000 0.000
Cd1 Cd 0.250 0.250 0.250
Sb1 Sb 0.250 0.250 0.750
```

The structure with the greatest stability is model B.

Model A:
Compound: AlCdSb
Source: the Alexandria database
Functional: PBE-GGA
Structure: optimized geometry

```
data_AlCdSb
_chemical_formula_sum 'Al2 Cd2 Sb2'
_symmetry_space_group_name_H-M 'I m m 2'
_symmetry_Int_Tables_number 44
_symmetry_space_group_name_Hall 'I 2 -2'
_cell_length_a 3.084
_cell_length_b 3.814
_cell_length_c 12.022
_cell_angle_alpha 90.00
_cell_angle_beta 90.00
_cell_angle_gamma 90.00
loop_
_atom_site_label
_atom_site_type_symbol
_atom_site_fract_x
_atom_site_fract_y
_atom_site_fract_z
Al1 Al 0.000 0.000 0.000
Cd1 Cd 0.000 0.000 0.653
Sb1 Sb 0.000 0.000 0.352
```

Model B:
Compound: AlCdSb
Source: the Alexandria database
Functional: PBE-GGA
Structure: optimized geometry

```
data_AlCdSb
_chemical_formula_sum 'Al2 Cd2 Sb2'
_symmetry_space_group_name_H-M 'P 1 21/m 1'
_symmetry_Int_Tables_number 11
_symmetry_space_group_name_Hall '-P 2yb'
_cell_length_a 4.204
_cell_length_b 5.276
_cell_length_c 6.752
_cell_angle_alpha 90.00
_cell_angle_beta 101.96
_cell_angle_gamma 90.00
loop_
_atom_site_label
_atom_site_type_symbol
_atom_site_fract_x
_atom_site_fract_y
_atom_site_fract_z
Al1 Al 0.177 0.250 0.074
Cd1 Cd 0.160 0.750 0.599
Sb1 Sb 0.427 0.750 0.215
```

The structure with the greatest stability is model B.

Model A:
Compound: Al2Cd2Sb
Source: the Alexandria database
Functional: PBE-GGA
Structure: optimized geometry

```
data_Al2Cd2Sb
_chemical_formula_sum 'Al4 Cd4 Sb2'
_symmetry_space_group_name_H-M 'P 4/m b m'
_symmetry_Int_Tables_number 127
_symmetry_space_group_name_Hall '-P 4 2ab'
_cell_length_a 8.179
_cell_length_b 8.179
_cell_length_c 3.337
_cell_angle_alpha 90.00
_cell_angle_beta 90.00
_cell_angle_gamma 90.00
loop_
_atom_site_label
_atom_site_type_symbol
_atom_site_fract_x
_atom_site_fract_y
_atom_site_fract_z
Al1 Al 0.117 0.383 0.000
Cd1 Cd 0.183 0.683 0.500
Sb1 Sb 0.000 0.000 0.000
```

Model B:
Compound: Al2Cd2Sb
Source: the Alexandria database
Functional: PBE-GGA
Structure: optimized geometry

```
data_Al2Cd2Sb
_chemical_formula_sum 'Al4 Cd4 Sb2'
_symmetry_space_group_name_H-M 'I 4/m m m'
_symmetry_Int_Tables_number 139
_symmetry_space_group_name_Hall '-I 4 2'
_cell_length_a 4.046
_cell_length_b 4.046
_cell_length_c 14.074
_cell_angle_alpha 90.00
_cell_angle_beta 90.00
_cell_angle_gamma 90.00
loop_
_atom_site_label
_atom_site_type_symbol
_atom_site_fract_x
_atom_site_fract_y
_atom_site_fract_z
Al1 Al 0.000 0.500 0.250
Cd1 Cd 0.000 0.000 0.103
Sb1 Sb 0.000 0.000 0.500
```

Model C:
Compound: Al2Cd2Sb
Source: the Alexandria database
Functional: PBE-GGA
Structure: optimized geometry

```
data_Al2Cd2Sb
_chemical_formula_sum 'Al4 Cd4 Sb2'
_symmetry_space_group_name_H-M 'P 4/m b m'
_symmetry_Int_Tables_number 127
_symmetry_space_group_name_Hall '-P 4 2ab'
_cell_length_a 8.263
_cell_length_b 8.263
_cell_length_c 3.275
_cell_angle_alpha 90.00
_cell_angle_beta 90.00
_cell_angle_gamma 90.00
loop_
_atom_site_label
_atom_site_type_symbol
_atom_site_fract_x
_atom_site_fract_y
_atom_site_fract_z
Al1 Al 0.175 0.325 0.000
Cd1 Cd 0.126 0.626 0.500
Sb1 Sb 0.000 0.000 0.500
```

The structure with the greatest stability is model A.

Model A:
Compound: Al2CdSb
Source: the Alexandria database
Functional: PBE-GGA
Structure: optimized geometry

```
data_Al2CdSb
_chemical_formula_sum 'Al8 Cd4 Sb4'
_symmetry_space_group_name_H-M 'F m -3 m'
_symmetry_Int_Tables_number 225
_symmetry_space_group_name_Hall '-F 4 2 3'
_cell_length_a 7.082
_cell_length_b 7.082
_cell_length_c 7.082
_cell_angle_alpha 90.00
_cell_angle_beta 90.00
_cell_angle_gamma 90.00
loop_
_atom_site_label
_atom_site_type_symbol
_atom_site_fract_x
_atom_site_fract_y
_atom_site_fract_z
Al1 Al 0.250 0.250 0.250
Cd1 Cd 0.000 0.000 0.000
Sb1 Sb 0.000 0.000 0.500
```

Model B:
Compound: Al2CdSb
Source: the Alexandria database
Functional: PBE-GGA
Structure: optimized geometry

```
data_Al2CdSb
_chemical_formula_sum 'Al4 Cd2 Sb2'
_symmetry_space_group_name_H-M 'C m m 2'
_symmetry_Int_Tables_number 35
_symmetry_space_group_name_Hall 'C 2 -2'
_cell_length_a 4.509
_cell_length_b 4.527
_cell_length_c 8.485
_cell_angle_alpha 90.00
_cell_angle_beta 90.00
_cell_angle_gamma 90.00
loop_
_atom_site_label
_atom_site_type_symbol
_atom_site_fract_x
_atom_site_fract_y
_atom_site_fract_z
Al1 Al 0.000 0.000 0.000
Al2 Al 0.000 0.500 0.193
Cd1 Cd 0.000 0.000 0.431
Sb1 Sb 0.000 0.500 0.737
```

Model C:
Compound: Al2CdSb
Source: the Alexandria database
Functional: PBE-GGA
Structure: optimized geometry

```
data_Al2CdSb
_chemical_formula_sum 'Al4 Cd2 Sb2'
_symmetry_space_group_name_H-M 'C 1 2/m 1'
_symmetry_Int_Tables_number 12
_symmetry_space_group_name_Hall '-C 2y'
_cell_length_a 6.275
_cell_length_b 8.822
_cell_length_c 3.171
_cell_angle_alpha 90.00
_cell_angle_beta 94.99
_cell_angle_gamma 90.00
loop_
_atom_site_label
_atom_site_type_symbol
_atom_site_fract_x
_atom_site_fract_y
_atom_site_fract_z
Al1 Al 0.250 0.250 0.000
Cd1 Cd 0.000 0.000 0.500
Sb1 Sb 0.000 0.500 0.500
```

The structure with the greatest stability is model B.